## Li2AuCl (PBE-GGA)

Data for crystalline Li2AuCl at its relaxed geometry.

Calculated values
Electronic total energy (eV/atom): -3.182
Excess energy over the best structure of this formula in the dataset (eV/atom): 0.064
Formation energy (no corrections) (meV per atom): -944

a b c (Å): 6.235 6.235 6.235
angles (deg): 118.49 118.49 92.63
Element x y z (fractional)
1 Li 0.087 0.625 0.962
2 Li 0.375 0.337 0.462
3 Li 0.663 0.125 0.038
4 Li 0.875 0.913 0.538
5 Au 0.250 0.750 0.500
6 Au 0.500 0.500 0.000
7 Cl 0.000 0.000 0.000
8 Cl 0.750 0.250 0.500